1.
Density functional theory data (GGA-PBE) for an optimized crystal structure of Pu2MgH6Ru.

a b c (Å): 5.011 5.224 5.224
angles (deg): 67.00 68.54 103.17
Each line ends with the local moment (μB).
Element x y z (fractional)
Pu: 0.753 0.253 0.494  5.64
Pu: 0.247 0.747 0.506  5.64
Mg: 0.000 0.000 0.000  0.03
H: 0.281 0.281 0.438  -0.01
H: 0.848 0.623 0.000  -0.01
H: 0.351 0.779 0.000  -0.01
H: 0.649 0.221 0.000  -0.01
H: 0.152 0.377 0.000  -0.01
H: 0.719 0.719 0.562  -0.01
Ru: 0.500 0.500 0.000  0.18

Summary:
SG   C2/m
Electronic total energy   -6.183 eV per atom

2.
Density functional theory data (GGA-PBE) for an optimized crystal structure of SiH5Cl2.

a b c (Å): 5.789 5.932 6.273
angles (deg): 122.85 121.06 71.40
Each line ends with the local moment (μB).
Element x y z (fractional)
Si: 0.720 0.718 0.692  0.00
H: 0.897 0.330 0.054  0.00
H: 0.036 0.306 0.155  0.00
H: 0.865 0.789 0.994  0.00
H: 0.385 0.614 0.982  0.38
H: 0.867 0.770 0.590  0.00
Cl: 0.355 0.935 0.622  0.00
Cl: 0.651 0.314 0.465  0.00

Summary:
SG   P1
Electronic total energy   -3.365 eV per atom

3.
Density functional theory data (GGA-PBE) for an optimized crystal structure of Sc3Cd4.

a b c (Å): 6.023 6.023 5.405
angles (deg): 90.00 90.00 120.00
Element x y z (fractional)
Sc: 0.000 0.500 0.000
Sc: 0.500 0.500 0.000
Sc: 0.500 0.000 0.000
Cd: 0.000 0.000 0.250
Cd: 0.000 0.000 0.750
Cd: 0.667 0.333 0.500
Cd: 0.333 0.667 0.500

Summary:
SG   P6/mmm
E above lowest polymorph   1.141 eV/f.u.
Energy relative to the elements   11 meV per atom

Listing DOS at the Fermi energy for the structures above in their given order: 15.286, 0.000, 6.021 states/eV/cell.
Listing magnetization for the structures above in their given order: 12.392, 0.960, 0.000 μB/cell.